1.
Density functional theory data (PBE) for an optimized crystal structure of YTlCuHg.

```
4
Lattice="0.000 3.550 3.550 3.550 0.000 3.550 3.550 3.550 0.000" Properties=species:S:1:pos:R:3 pbc="T T T"
Y 0.000 0.000 0.000
Tl 3.550 3.550 3.550
Cu 1.775 1.775 1.775
Hg 5.325 5.325 5.325
```

Properties
Crystal system ... cubic
ΔH_f (0 K) ... -150.7 meV per atom

---

2.
Density functional theory data (PBE) for an optimized crystal structure of TlZnCuHg2.

```
5
Lattice="5.147 0.000 0.000 0.000 5.147 0.000 0.000 0.000 4.778" Properties=species:S:1:pos:R:3 pbc="T T T"
Tl 0.000 0.000 0.000
Zn 2.573 2.573 0.000
Cu 2.573 2.573 2.389
Hg 0.000 2.573 2.389
Hg 2.573 0.000 2.389
```

Properties
Crystal system ... tetragonal
ΔH_f (0 K) ... 145.1 meV per atom

---

3.
Density functional theory data (PBE) for an optimized crystal structure of TmCu5Hg.

```
28
Lattice="8.237 0.000 0.000 0.000 4.998 0.000 0.000 0.000 10.495" Properties=species:S:1:pos:R:3 pbc="T T T"
Tm 2.039 1.250 0.712
Tm 2.079 3.749 5.959
Tm 6.157 1.250 4.536
Tm 6.197 3.749 9.783
Cu 0.441 3.749 1.126
Cu 0.567 0.006 3.300
Cu 0.567 2.493 3.300
Cu 0.685 1.250 5.421
Cu 1.539 1.250 7.762
Cu 2.579 3.749 2.515
Cu 3.433 3.749 0.174
Cu 3.551 2.505 8.548
Cu 3.551 4.992 8.548
Cu 3.677 1.250 6.374
Cu 4.559 3.749 4.121
Cu 4.685 0.006 1.947
Cu 4.685 2.493 1.947
Cu 4.803 1.250 10.321
Cu 5.657 1.250 7.980
Cu 6.697 3.749 2.733
Cu 7.551 3.749 5.074
Cu 7.670 2.505 7.195
Cu 7.670 4.992 7.195
Cu 7.796 1.250 9.369
Hg 1.099 3.749 9.080
Hg 3.019 1.250 3.832
Hg 5.217 3.749 6.662
Hg 7.138 1.250 1.415
```

Properties
Crystal system ... orthorhombic
ΔH_f (0 K) ... -162.6 meV per atom

---

4.
Density functional theory data (PBE) for an optimized crystal structure of Tm6Cu5Hg.

```
12
Lattice="2.453 -7.333 0.000 2.453 7.333 0.000 0.000 0.000 6.942" Properties=species:S:1:pos:R:3 pbc="T T T"
Tm 0.000 0.000 1.657
Tm 0.000 0.000 5.285
Tm 2.453 2.508 1.699
Tm 2.453 2.508 5.243
Tm 2.453 -2.508 1.699
Tm 2.453 -2.508 5.243
Cu 2.453 4.921 0.000
Cu 2.453 4.907 3.471
Cu 2.453 0.000 0.000
Cu 2.453 -4.907 3.471
Cu 2.453 -4.921 0.000
Hg 2.453 0.000 3.471
```

Properties
Crystal system ... orthorhombic
ΔH_f (0 K) ... -306.9 meV per atom

---

5.
Density functional theory data (PBE) for an optimized crystal structure of Tm4CuHg3.

```
8
Lattice="3.586 0.000 0.000 0.000 3.586 0.000 0.000 0.000 14.722" Properties=species:S:1:pos:R:3 pbc="T T T"
Tm 0.000 0.000 1.640
Tm 0.000 0.000 5.460
Tm 0.000 0.000 9.262
Tm 0.000 0.000 13.082
Cu 1.793 1.793 0.000
Hg 1.793 1.793 3.570
Hg 1.793 1.793 7.361
Hg 1.793 1.793 11.152
```

Properties
Crystal system ... tetragonal
ΔH_f (0 K) ... -421.7 meV per atom

---

6.
Density functional theory data (PBE) for an optimized crystal structure of Tm5Cu4Hg.

```
10
Lattice="3.435 0.000 0.000 0.000 3.435 0.000 0.000 0.000 17.722" Properties=species:S:1:pos:R:3 pbc="T T T"
Tm 0.000 0.000 0.000
Tm 0.000 0.000 3.411
Tm 0.000 0.000 6.803
Tm 0.000 0.000 10.919
Tm 0.000 0.000 14.311
Cu 1.718 1.718 1.706
Cu 1.718 1.718 5.116
Cu 1.718 1.718 12.606
Cu 1.718 1.718 16.016
Hg 1.718 1.718 8.861
```

Properties
Crystal system ... tetragonal
ΔH_f (0 K) ... -322.2 meV per atom

---

7.
Density functional theory data (PBE) for an optimized crystal structure of TmCuHg.

```
3
Lattice="4.595 0.000 0.000 -2.298 3.980 0.000 0.000 0.000 3.389" Properties=species:S:1:pos:R:3 pbc="T T T"
Tm 0.000 0.000 0.000
Cu 0.000 2.653 1.700
Hg 2.298 1.327 1.694
```

Properties
Crystal system ... trigonal
ΔH_f (0 K) ... -300.4 meV per atom

---

8.
Density functional theory data (PBE) for an optimized crystal structure of Tm12Cu6Hg.

```
19
Lattice="-4.831 4.831 4.831 4.831 -4.831 4.831 4.831 4.831 -4.831" Properties=species:S:1:pos:R:3 pbc="T T T"
Tm 4.831 3.008 -1.997
Tm 2.834 0.000 1.824
Tm 6.828 0.000 1.824
Tm 1.824 2.834 0.000
Tm 3.008 -1.997 4.831
Tm 0.000 1.824 2.834
Tm 4.831 3.008 1.997
Tm 1.824 6.828 0.000
Tm 3.008 1.997 4.831
Tm -1.997 4.831 3.008
Tm 1.997 4.831 3.008
Tm 0.000 1.824 6.828
Cu 4.831 1.214 0.000
Cu 4.831 0.000 3.617
Cu 3.617 4.831 0.000
Cu 1.214 0.000 4.831
Cu 0.000 4.831 1.214
Cu 0.000 3.617 4.831
Hg 0.000 0.000 0.000
```

Properties
Crystal system ... cubic
ΔH_f (0 K) ... -222.7 meV per atom